Entry 1:
# YGaRh

Crystalline YGaRh at its relaxed geometry (PBE-GGA, Alexandria).

It has space group I4mm (No. 107), with a = 3.3434 Å, b = 3.3434 Å, c = 10.2115 Å, α = 90.00°, β = 90.00° and γ = 90.00°. The asymmetric unit holds Y at (0.0000, 0.0000, 0.0000), Ga at (0.0000, 0.0000, 0.7024) and Rh at (0.0000, 0.0000, 0.3165).

For the magnetic moment, the calculation gives 0.000 μB per atom. As for the energy relative to the elements: -0.688 eV per atom. For the density of states at the Fermi level, the calculation gives 0.550 states/eV per atom.


Entry 2:
# Li2ThPd8

Crystalline Li2ThPd8 at its relaxed geometry (PBE-GGA, Alexandria).

It has space group P-1 (No. 2), with a = 4.9406 Å, b = 6.3361 Å, c = 6.3572 Å, α = 108.43°, β = 103.65° and γ = 96.51°. The asymmetric unit holds Li at (0.1015, 0.2106, 0.0029), Th at (0.5000, 0.5000, 0.5000), Pd at (0.0398, 0.4185, 0.6995), Pd at (0.2316, 0.0445, 0.4148), Pd at (0.3110, 0.8683, 0.7768) and Pd at (0.4165, 0.6849, 0.1280).

For the magnetic moment, the calculation gives 0.000 μB per atom. As for the energy relative to the elements: -0.487 eV per atom. For the density of states at the Fermi level, the calculation gives 0.410 states/eV per atom.


Entry 3:
# AcEuThIn

Crystalline AcEuThIn at its relaxed geometry (PBE-GGA, Alexandria).

It has space group F-43m (No. 216), with a = 8.1234 Å, b = 8.1234 Å, c = 8.1234 Å, α = 90.00°, β = 90.00° and γ = 90.00°. The asymmetric unit holds Ac at (0.0000, 0.0000, 0.0000), Eu at (0.2500, 0.2500, 0.2500), Th at (0.2500, 0.2500, 0.7500) and In at (0.0000, 0.0000, 0.5000).

For the magnetic moment, the calculation gives 1.945 μB per atom. As for the energy relative to the elements: 0.059 eV per atom. For the density of states at the Fermi level, the calculation gives 1.523 states/eV per atom.


Entry 4:
# KSiOs4

Crystalline KSiOs4 at its relaxed geometry (PBE-GGA, Alexandria).

It has space group F-43m (No. 216), with a = 7.4627 Å, b = 7.4627 Å, c = 7.4627 Å, α = 90.00°, β = 90.00° and γ = 90.00°. The asymmetric unit holds K at (0.0000, 0.0000, 0.0000), Si at (0.2500, 0.2500, 0.2500) and Os at (0.1242, 0.1242, 0.6242).

For the magnetic moment, the calculation gives 0.000 μB per atom. The electronic total energy comes out at -7.39 eV per atom. For the density of states at the Fermi level, the calculation gives 1.547 states/eV per atom.


Entry 5:
# ZrCdAu6

Crystalline ZrCdAu6 at its relaxed geometry (PBE-GGA, Alexandria).

It has space group C2/m (No. 12), with a = 9.3184 Å, b = 4.2501 Å, c = 8.4725 Å, α = 90.00°, β = 116.99° and γ = 90.00°. The asymmetric unit holds Zr at (0.0000, 0.0000, 0.0000), Cd at (0.0000, 0.0000, 0.5000), Au at (0.0029, 0.5000, 0.2475), Au at (0.2479, 0.5000, 0.1208) and Au at (0.2485, 0.0000, 0.3716).

For the magnetic moment, the calculation gives 0.000 μB per atom. As for the energy relative to the elements: -0.301 eV per atom. For the density of states at the Fermi level, the calculation gives 0.360 states/eV per atom.


Entry 6:
# Ac2TmInPd6

Crystalline Ac2TmInPd6 at its relaxed geometry (PBE-GGA, Alexandria).

It has space group Fm-3m (No. 225), with a = 10.1152 Å, b = 10.1152 Å, c = 10.1152 Å, α = 90.00°, β = 90.00° and γ = 90.00°. The asymmetric unit holds Ac at (0.2500, 0.2500, 0.2500), Tm at (0.0000, 0.0000, 0.0000), In at (0.0000, 0.0000, 0.5000) and Pd at (0.0000, 0.0000, 0.2495).

For the magnetic moment, the calculation gives 0.000 μB per atom. As for the energy relative to the elements: -0.270 eV per atom. For the density of states at the Fermi level, the calculation gives 0.778 states/eV per atom.


Entry 7:
# SrVI3

Crystalline SrVI3 at its relaxed geometry (PBE-GGA, Alexandria).

It has space group Pm-3m (No. 221), with a = 6.3432 Å, b = 6.3432 Å, c = 6.3432 Å, α = 90.00°, β = 90.00° and γ = 90.00°. The asymmetric unit holds Sr at (0.0000, 0.0000, 0.0000), V at (0.5000, 0.5000, 0.5000) and I at (0.0000, 0.0000, 0.5000).

For the magnetic moment, the calculation gives 0.800 μB per atom. The electronic total energy comes out at -3.28 eV per atom. For the density of states at the Fermi level, the calculation gives 2.339 states/eV per atom.


Entry 8:
# NpInCu

Crystalline NpInCu at its relaxed geometry (PBE-GGA, Alexandria).

It has space group I4mm (No. 107), with a = 3.0571 Å, b = 3.0571 Å, c = 12.7675 Å, α = 90.00°, β = 90.00° and γ = 90.00°. The asymmetric unit holds Np at (0.0000, 0.0000, 0.0000), In at (0.0000, 0.0000, 0.2983) and Cu at (0.0000, 0.0000, 0.6606).

For the magnetic moment, the calculation gives 1.327 μB per atom. As for the energy relative to the elements: 0.180 eV per atom. For the density of states at the Fermi level, the calculation gives 1.900 states/eV per atom.